(1)
DFT (PBE) results for a relaxed BaAg2Se2 crystal.

Cell lengths 7.6845, 7.6845, 7.6845 Å; angles 147.85, 147.85, 46.10 degrees
Last column: nearest neighbours and their distance in Å.
Sites, in units of the cell vectors:
Ba1 0.0000 0.0000 0.0000  8 Se 3.47
Ag1 0.2500 0.7500 0.5000  4 Se 2.80, 4 Ag 3.01
Ag2 0.7500 0.2500 0.5000  4 Se 2.80, 4 Ag 3.01
Se1 0.3784 0.3784 0.0000  4 Ag 2.80
Se2 0.6216 0.6216 0.0000  4 Ag 2.80

Summary:
size of the total moment	0.00	μB per formula unit
raw formation energy	-4.28	eV per formula unit
SG	No. 139



(2)
DFT (PBE) results for a relaxed BaAg2Se crystal.

Cell lengths 5.5337, 5.5337, 5.5337 Å; angles 130.12, 112.42, 88.52 degrees
Last column: nearest neighbours and their distance in Å.
Sites, in units of the cell vectors:
Ba1 0.0000 0.0000 0.0000  4 Se 3.34-3.46, 4 Ag 3.39-3.43
Ag1 0.3098 0.8098 0.5000  2 Ag 2.88, 1 Se 3.08
Ag2 0.5229 0.5229 0.0000  2 Se 2.72, 2 Ag 2.88
Se1 0.6983 0.1983 0.5000  2 Ag 2.72

Summary:
size of the total moment	0.00	μB per formula unit
raw formation energy	-1.96	eV per formula unit
SG	No. 44



(3)
DFT (PBE) results for a relaxed Ba2AgSe crystal.

Cell lengths 6.6068, 6.6068, 5.2464 Å; angles 90.02, 90.02, 38.75 degrees
Last column: nearest neighbours and their distance in Å.
Sites, in units of the cell vectors:
Ba1 0.0000 0.0000 0.0000  3 Ag 3.36-3.61, 4 Se 3.43
Ba2 0.7495 0.7495 0.5010  3 Se 3.35-3.62, 4 Ag 3.43
Ag1 0.2696 0.2696 0.0012  7 Ba 3.36-3.61, 2 Se 3.71-3.72
Se1 0.4807 0.4807 0.4998  7 Ba 3.35-3.62, 2 Ag 3.71-3.72

Summary:
size of the total moment	0.00	μB per formula unit
raw formation energy	-3.90	eV per formula unit
SG	No. 8



(4)
DFT (PBE) results for a relaxed BaAgSe2 crystal.

Cell lengths 4.4127, 4.4127, 11.2458 Å; angles 90.00, 90.00, 90.00 degrees
Last column: nearest neighbours and their distance in Å.
Sites, in units of the cell vectors:
Ba1 0.2500 0.2500 0.2177  8 Se 3.30-3.44
Ba2 0.7500 0.7500 0.7823  8 Se 3.30-3.44
Ag1 0.2500 0.7500 0.5000  4 Se 2.81, 4 Ag 3.12
Ag2 0.7500 0.2500 0.5000  4 Se 2.81, 4 Ag 3.12
Se1 0.2500 0.2500 0.6541  4 Ag 2.81
Se2 0.2500 0.7500 0.0000  4 Se 3.12, 4 Ba 3.30
Se3 0.7500 0.2500 0.0000  4 Se 3.12, 4 Ba 3.30
Se4 0.7500 0.7500 0.3459  4 Ag 2.81

Summary:
size of the total moment	0.00	μB per formula unit
raw formation energy	-4.06	eV per formula unit
SG	No. 129



(5)
DFT (PBE) results for a relaxed BaAgSe4 crystal.

Cell lengths 5.9942, 5.9942, 5.9942 Å; angles 60.00, 60.00, 60.00 degrees
Last column: nearest neighbours and their distance in Å.
Sites, in units of the cell vectors:
Ba1 0.0000 0.0000 0.0000  12 Se 3.52, 4 Ag 3.67
Ag1 0.2500 0.2500 0.2500  12 Se 3.51, 4 Ba 3.67
Se1 0.1295 0.6235 0.6235  6 Se 2.96-3.03
Se2 0.6235 0.1295 0.6235  6 Se 2.96-3.03
Se3 0.6235 0.6235 0.1295  6 Se 2.96-3.03
Se4 0.6235 0.6235 0.6235  6 Se 2.96-3.03

Summary:
size of the total moment	0.00	μB per formula unit
raw formation energy	-1.25	eV per formula unit
SG	No. 216



(6)
DFT (PBE) results for a relaxed BaAg2Se2 crystal.

Cell lengths 5.1736, 6.8090, 8.8585 Å; angles 87.63, 73.03, 81.64 degrees
Last column: nearest neighbours and their distance in Å.
Sites, in units of the cell vectors:
Ba1 0.1771 0.2503 0.1441  6 Se 3.27-3.42
Ba2 0.8229 0.7497 0.8559  6 Se 3.27-3.42
Ag1 0.2015 0.1467 0.6412  3 Se 2.59-2.79
Ag2 0.3453 0.6459 0.3586  3 Se 2.59-2.79
Ag3 0.6547 0.3541 0.6414  3 Se 2.59-2.79
Ag4 0.7985 0.8533 0.3588  3 Se 2.59-2.79
Se1 0.1969 0.7502 0.1082  2 Ag 2.59
Se2 0.4415 0.7505 0.6187  4 Ag 2.64-2.79
Se3 0.5585 0.2495 0.3813  4 Ag 2.64-2.79
Se4 0.8031 0.2498 0.8918  2 Ag 2.59

Summary:
size of the total moment	0.00	μB per formula unit
raw formation energy	-4.28	eV per formula unit
SG	No. 2



(7)
DFT (PBE) results for a relaxed BaAgSe2 crystal.

Cell lengths 7.6070, 7.6070, 7.6070 Å; angles 150.24, 148.16, 44.14 degrees
Last column: nearest neighbours and their distance in Å.
Sites, in units of the cell vectors:
Ba1 0.0000 0.0000 0.0000  6 Se 3.21-3.36
Ag1 0.7498 0.2498 0.5000  6 Se 2.84-3.00
Se1 0.3136 0.8136 0.5000  4 Ag 3.00, 2 Ba 3.36
Se2 0.6035 0.6035 0.0000  2 Ag 2.84

Summary:
size of the total moment	0.00	μB per formula unit
raw formation energy	-2.92	eV per formula unit
SG	No. 44



(8)
DFT (PBE) results for a relaxed BaAg2Se crystal.

Cell lengths 6.6995, 6.6995, 6.6995 Å; angles 144.05, 139.02, 55.63 degrees
Last column: nearest neighbours and their distance in Å.
Sites, in units of the cell vectors:
Ba1 0.0000 0.0000 0.0000  4 Se 3.13
Ag1 0.2653 0.7653 0.5000  4 Ag 3.15, 2 Se 3.47
Ag2 0.7347 0.2347 0.5000  4 Ag 3.15, 2 Se 3.47
Se1 0.5000 0.5000 0.0000  4 Ba 3.13, 4 Ag 3.47

Summary:
size of the total moment	0.00	μB per formula unit
raw formation energy	-1.64	eV per formula unit
SG	No. 71



(9)
DFT (PBE) results for a relaxed BaAg2Se crystal.

Cell lengths 4.1098, 4.1233, 6.9192 Å; angles 90.00, 107.23, 90.00 degrees
Last column: nearest neighbours and their distance in Å.
Sites, in units of the cell vectors:
Ba1 0.0000 0.0000 0.0000  4 Se 3.19, 1 Ag 3.36
Ag1 0.2848 0.5000 0.5736  4 Ag 2.96, 2 Se 3.22-3.23
Ag2 0.7439 0.0000 0.4919  2 Se 2.83, 4 Ag 2.96
Se1 0.5987 0.5000 0.1980  2 Ag 2.83

Summary:
size of the total moment	0.00	μB per formula unit
raw formation energy	-2.28	eV per formula unit
SG	No. 6



(10)
DFT (PBE) results for a relaxed BaAg2Se crystal.

Cell lengths 6.6295, 6.6295, 6.6295 Å; angles 41.07, 41.07, 41.07 degrees
Last column: nearest neighbours and their distance in Å.
Sites, in units of the cell vectors:
Ba1 0.0000 0.0000 0.0000  3 Se 3.26, 3 Ag 3.46
Ag1 0.2132 0.2132 0.2132  3 Ag 2.84
Ag2 0.4961 0.4961 0.4961  3 Ag 2.84, 3 Se 2.90
Se1 0.7688 0.7688 0.7688  3 Ag 2.90

Summary:
size of the total moment	0.00	μB per formula unit
raw formation energy	-2.13	eV per formula unit
SG	No. 160



(11)
DFT (PBE) results for a relaxed BaAgSe2 crystal.

Cell lengths 6.4631, 6.4631, 6.4631 Å; angles 139.73, 139.73, 58.26 degrees
Last column: nearest neighbours and their distance in Å.
Sites, in units of the cell vectors:
Ba1 0.0000 0.0000 0.0000  4 Se 3.15
Ag1 0.7500 0.2500 0.5000  4 Se 3.15
Se1 0.2500 0.7500 0.5000  4 Ag 3.15
Se2 0.5000 0.5000 0.0000  4 Ba 3.15

Summary:
size of the total moment	0.22	μB per formula unit
raw formation energy	-2.56	eV per formula unit
SG	No. 119



(12)
DFT (PBE) results for a relaxed BaAg4Se crystal.

Cell lengths 5.8126, 5.8126, 5.8126 Å; angles 60.00, 60.00, 60.00 degrees
Last column: nearest neighbours and their distance in Å.
Sites, in units of the cell vectors:
Ba1 0.0000 0.0000 0.0000  12 Ag 3.41, 4 Se 3.56
Ag1 0.3757 0.3757 0.3757  6 Ag 2.89-2.92
Ag2 0.3757 0.3757 0.8729  6 Ag 2.89-2.92
Ag3 0.3757 0.8729 0.3757  6 Ag 2.89-2.92
Ag4 0.8729 0.3757 0.3757  6 Ag 2.89-2.92
Se1 0.7500 0.7500 0.7500  12 Ag 3.41, 4 Ba 3.56

Summary:
size of the total moment	0.00	μB per formula unit
raw formation energy	-1.76	eV per formula unit
SG	No. 216



(13)
DFT (PBE) results for a relaxed BaAgSe2 crystal.

Cell lengths 8.8781, 8.8781, 8.8781 Å; angles 140.49, 140.49, 57.11 degrees
Last column: nearest neighbours and their distance in Å.
Sites, in units of the cell vectors:
Ba1 0.0000 0.0000 0.0000  4 Se 3.21
Ba2 0.7500 0.2500 0.5000  4 Se 3.21
Ag1 0.2500 0.7500 0.5000  4 Se 2.64
Ag2 0.5000 0.5000 0.0000  4 Se 2.64
Se1 0.2176 0.6250 0.0926  2 Ag 2.64
Se2 0.3750 0.4676 0.5926  2 Ag 2.64
Se3 0.5324 0.1250 0.9074  2 Ag 2.64
Se4 0.8750 0.7824 0.4074  2 Ag 2.64

Summary:
size of the total moment	0.00	μB per formula unit
raw formation energy	-3.14	eV per formula unit
SG	No. 122



(14)
DFT (PBE) results for a relaxed BaAg2Se crystal.

Cell lengths 4.1479, 4.1479, 7.1643 Å; angles 90.00, 90.00, 90.00 degrees
Last column: nearest neighbours and their distance in Å.
Sites, in units of the cell vectors:
Ba1 0.0000 0.0000 0.0000  4 Se 3.15, 1 Ag 3.34
Ag1 0.0000 0.0000 0.5343  4 Ag 2.93
Ag2 0.5000 0.5000 0.5347  1 Se 2.67, 4 Ag 2.93
Se1 0.5000 0.5000 0.1616  1 Ag 2.67

Summary:
size of the total moment	0.00	μB per formula unit
raw formation energy	-2.03	eV per formula unit
SG	No. 99



(15)
DFT (PBE) results for a relaxed Ba2Ag2Se3 crystal.

Cell lengths 8.5480, 8.5480, 13.1697 Å; angles 120.75, 120.75, 30.20 degrees
Last column: nearest neighbours and their distance in Å.
Sites, in units of the cell vectors:
Ba1 0.0989 0.0989 0.4518  7 Se 3.34-3.62, 1 Ag 3.63
Ba2 0.2356 0.2356 0.8401  6 Se 3.25-3.34
Ba3 0.7644 0.7644 0.1599  6 Se 3.25-3.34
Ba4 0.9011 0.9011 0.5482  7 Se 3.34-3.62, 1 Ag 3.63
Ag1 0.0871 0.0871 0.1685  4 Se 2.78-2.80, 2 Ag 3.08
Ag2 0.4574 0.4574 0.1676  4 Se 2.72-2.89
Ag3 0.5426 0.5426 0.8324  4 Se 2.72-2.89
Ag4 0.9129 0.9129 0.8315  4 Se 2.78-2.80, 2 Ag 3.08
Se1 0.1129 0.1129 0.9765  4 Ag 2.75-2.80
Se2 0.3362 0.3362 0.6810  3 Ag 2.80-2.89
Se3 0.4153 0.4153 0.3414  1 Ag 2.72
Se4 0.5847 0.5847 0.6586  1 Ag 2.72
Se5 0.6638 0.6638 0.3190  3 Ag 2.80-2.89
Se6 0.8871 0.8871 0.0235  4 Ag 2.75-2.80

Summary:
size of the total moment	0.00	μB per formula unit
raw formation energy	-8.35	eV per formula unit
SG	No. 12



(16)
DFT (PBE) results for a relaxed BaAgSe2 crystal.

Cell lengths 5.1754, 5.1754, 4.0871 Å; angles 90.11, 90.11, 97.99 degrees
Last column: nearest neighbours and their distance in Å.
Sites, in units of the cell vectors:
Ba1 0.0000 0.0000 0.0000  8 Se 3.29-3.30, 2 Ag 3.40
Ag1 0.5000 0.5000 0.0000  8 Se 3.29-3.30, 2 Ba 3.40
Se1 0.0000 0.5000 0.5000  4 Ba 3.29-3.30, 4 Ag 3.29-3.30, 2 Se 3.40
Se2 0.5000 0.0000 0.5000  4 Ba 3.29-3.30, 4 Ag 3.29-3.30, 2 Se 3.40

Summary:
size of the total moment	0.00	μB per formula unit
raw formation energy	-2.95	eV per formula unit
SG	No. 12



(17)
DFT (PBE) results for a relaxed BaAgSe2 crystal.

Cell lengths 5.3422, 5.3422, 5.3422 Å; angles 60.00, 60.00, 60.00 degrees
Last column: nearest neighbours and their distance in Å.
Sites, in units of the cell vectors:
Ba1 0.0000 0.0000 0.0000  8 Se 3.27
Ag1 0.5000 0.5000 0.5000  8 Se 3.27
Se1 0.2500 0.2500 0.2500  4 Ag 3.27, 4 Ba 3.27
Se2 0.7500 0.7500 0.7500  4 Ba 3.27, 4 Ag 3.27

Summary:
size of the total moment	0.00	μB per formula unit
raw formation energy	-2.94	eV per formula unit
SG	No. 225



(18)
DFT (PBE) results for a relaxed BaAg2Se crystal.

Cell lengths 12.3631, 12.3631, 12.3631 Å; angles 159.30, 159.30, 29.44 degrees
Last column: nearest neighbours and their distance in Å.
Sites, in units of the cell vectors:
Ba1 0.0000 0.0000 0.0000  4 Se 3.14, 4 Ag 3.43
Ba2 0.7500 0.2500 0.5000  4 Se 3.14, 4 Ag 3.43
Ag1 0.1562 0.6250 0.0312  2 Ag 2.95
Ag2 0.3750 0.4062 0.5312  2 Ag 2.95
Ag3 0.5938 0.1250 0.9688  2 Ag 2.95
Ag4 0.8750 0.8438 0.4688  2 Ag 2.95
Se1 0.2500 0.7500 0.5000  4 Ba 3.14, 4 Ag 3.33
Se2 0.5000 0.5000 0.0000  4 Ba 3.14, 4 Ag 3.33

Summary:
size of the total moment	0.00	μB per formula unit
raw formation energy	-1.77	eV per formula unit
SG	No. 122



(19)
DFT (PBE) results for a relaxed BaAg2Se crystal.

Cell lengths 6.8681, 6.8681, 4.7201 Å; angles 104.72, 104.72, 37.98 degrees
Last column: nearest neighbours and their distance in Å.
Sites, in units of the cell vectors:
Ba1 0.0000 0.0000 0.0000  4 Se 3.25
Ag1 0.2969 0.2969 0.1626  1 Se 2.69, 2 Ag 2.80
Ag2 0.7031 0.7031 0.8374  1 Se 2.69, 2 Ag 2.80
Se1 0.5000 0.5000 0.5000  2 Ag 2.69

Summary:
size of the total moment	0.00	μB per formula unit
raw formation energy	-2.32	eV per formula unit
SG	No. 12



(20)
DFT (PBE) results for a relaxed BaAg2Se crystal.

Cell lengths 4.3920, 4.9691, 5.4417 Å; angles 90.00, 90.00, 90.00 degrees
Last column: nearest neighbours and their distance in Å.
Sites, in units of the cell vectors:
Ba1 0.0000 0.0000 0.0000  4 Se 3.50, 8 Ag 3.57
Ag1 0.5000 0.5000 0.2454  2 Ag 2.67-2.77, 2 Se 2.84
Ag2 0.5000 0.5000 0.7546  2 Ag 2.67-2.77, 2 Se 2.84
Se1 0.5000 0.0000 0.5000  4 Ag 2.84

Summary:
size of the total moment	0.00	μB per formula unit
raw formation energy	-2.41	eV per formula unit
SG	No. 47